Entry from Alexandria via LeMat-Bulk: a geometry-optimized HoCrO4 structure (PBEsol).

Cell: 4.963 4.963 11.070 Å, 90.00 90.00 90.00°
Space group I4_1/a (No. 88, origin choice 2)
Inequivalent atoms, fractional coordinates:
Ho 0.000 0.250 0.125
Cr 0.000 0.250 0.625
O 0.144 0.008 0.296



Entry from Alexandria via LeMat-Bulk: a geometry-optimized FeAg2Sb structure (PBEsol).

Cell: 3.068 4.369 10.127 Å, 90.00 90.00 90.00°
Space group Immm (No. 71)
Inequivalent atoms, fractional coordinates:
Fe 0.000 0.000 0.000
Ag 0.000 0.500 0.277
Sb 0.000 0.000 0.500



| no. | formation energy without anion corrections (eV per formula unit) |
| --- | --- |
| 1 | -15.756 |
| 2 | 1.107 |